# 1
# TlAgBiS2 | the Alexandria database | PBE | relaxed
# - Formation energy from raw total energies: -2.72 kcal/mol of atoms
data_TlAgBiS2
_space_group_name_H-M_alt 'P 1 2/c 1'
_space_group_IT_number 13
_space_group_name_Hall '-P 2yc'
_cell_length_a 7.2222
_cell_length_b 4.6647
_cell_length_c 8.4568
_cell_angle_alpha 90.00
_cell_angle_beta 97.99
_cell_angle_gamma 90.00
loop_
_atom_site_label
_atom_site_type_symbol
_atom_site_fract_x
_atom_site_fract_y
_atom_site_fract_z
Tl1 Tl 0.0000 0.1231 0.2500
Ag1 Ag 0.5000 0.0000 0.0000
Bi1 Bi 0.5000 0.4892 0.7500
S1 S 0.2454 0.3481 0.9728


# 2
# Tm2Ag3BiS6 | the Alexandria database | PBE | relaxed
# - Formation energy from raw total energies: -21.36 kcal/mol of atoms
data_Tm2Ag3BiS6
_space_group_name_H-M_alt 'C 1 2/m 1'
_space_group_IT_number 12
_space_group_name_Hall '-C 2y'
_cell_length_a 17.1534
_cell_length_b 3.9836
_cell_length_c 7.7448
_cell_angle_alpha 90.00
_cell_angle_beta 100.74
_cell_angle_gamma 90.00
loop_
_atom_site_label
_atom_site_type_symbol
_atom_site_fract_x
_atom_site_fract_y
_atom_site_fract_z
Tm1 Tm 0.1678 0.0000 0.3306
Ag1 Ag 0.0000 0.5000 0.5000
Ag2 Ag 0.1710 0.0000 0.8185
Bi1 Bi 0.0000 0.5000 0.0000
S1 S 0.0048 0.0000 0.2606
S2 S 0.1668 0.5000 0.0887
S3 S 0.1713 0.5000 0.5725


# 3
# TmAg2BiS4 | the Alexandria database | PBE | relaxed
# - Formation energy from raw total energies: -17.23 kcal/mol of atoms
data_TmAg2BiS4
_space_group_name_H-M_alt 'P 1 2/m 1'
_space_group_IT_number 10
_space_group_name_Hall '-P 2y'
_cell_length_a 6.7166
_cell_length_b 3.9961
_cell_length_c 6.9938
_cell_angle_alpha 90.00
_cell_angle_beta 111.06
_cell_angle_gamma 90.00
loop_
_atom_site_label
_atom_site_type_symbol
_atom_site_fract_x
_atom_site_fract_y
_atom_site_fract_z
Tm1 Tm 0.0000 0.0000 0.0000
Ag1 Ag 0.5000 0.0000 0.5000
Ag2 Ag 0.5000 0.5000 0.0000
Bi1 Bi 0.0000 0.5000 0.5000
S1 S 0.2407 0.5000 0.2418
S2 S 0.2500 0.0000 0.7641